Record 1
# Cu2NiSb | the Alexandria database | PBE | optimized geometry
# - magnetic moment (μB/f.u.) = 0.00
# - E_form (uncorrected) (eV/atom) = 0.159
data_Cu2NiSb
_chemical_formula_sum 'Cu2 Ni1 Sb1'
_symmetry_space_group_name_H-M 'P 1'
_symmetry_Int_Tables_number 1
_symmetry_space_group_name_Hall 'P 1'
_cell_length_a 4.528
_cell_length_b 3.156
_cell_length_c 4.227
_cell_angle_alpha 90.40
_cell_angle_beta 90.00
_cell_angle_gamma 90.00
loop_
_atom_site_label
_atom_site_fract_x
_atom_site_fract_y
_atom_site_fract_z
_atom_site_occupancy
Cu1 0.000 0.000 0.020 1
Cu2 0.000 0.500 0.480 1
Ni1 0.500 0.250 0.250 1
Sb1 0.500 0.750 0.750 1

Record 2
# CuNiSb2 | the Alexandria database | PBE | optimized geometry
# - magnetic moment (μB/f.u.) = 0.00
# - energy above the lowest structure with this stoichiometry (meV/atom) = 147
# - E_form (uncorrected) (eV/atom) = -0.004
data_CuNiSb2
_chemical_formula_sum 'Cu1 Ni1 Sb2'
_symmetry_space_group_name_H-M 'P 1'
_symmetry_Int_Tables_number 1
_symmetry_space_group_name_Hall 'P 1'
_cell_length_a 4.010
_cell_length_b 3.752
_cell_length_c 5.168
_cell_angle_alpha 68.86
_cell_angle_beta 90.00
_cell_angle_gamma 90.00
loop_
_atom_site_label
_atom_site_fract_x
_atom_site_fract_y
_atom_site_fract_z
_atom_site_occupancy
Cu1 0.000 0.711 0.465 1
Sb1 0.000 0.983 0.904 1
Sb2 0.500 0.267 0.347 1
Ni1 0.500 0.539 0.783 1

Repeat the second record exactly.
# CuNiSb2 | the Alexandria database | PBE | optimized geometry
# - magnetic moment (μB/f.u.) = 0.00
# - energy above the lowest structure with this stoichiometry (meV/atom) = 147
# - E_form (uncorrected) (eV/atom) = -0.004
data_CuNiSb2
_chemical_formula_sum 'Cu1 Ni1 Sb2'
_symmetry_space_group_name_H-M 'P 1'
_symmetry_Int_Tables_number 1
_symmetry_space_group_name_Hall 'P 1'
_cell_length_a 4.010
_cell_length_b 3.752
_cell_length_c 5.168
_cell_angle_alpha 68.86
_cell_angle_beta 90.00
_cell_angle_gamma 90.00
loop_
_atom_site_label
_atom_site_fract_x
_atom_site_fract_y
_atom_site_fract_z
_atom_site_occupancy
Cu1 0.000 0.711 0.465 1
Sb1 0.000 0.983 0.904 1
Sb2 0.500 0.267 0.347 1
Ni1 0.500 0.539 0.783 1

- Which formula does entry 1 have?
  Cu2NiSb